No. 1
DFT (PBE) results for crystalline Ca2TlHg at its relaxed geometry. Values from VASP.

Size of the total moment: 0.0 Bohr magnetons per cell
Symmetry: No. 122
Energy of formation: -0.223 eV/atom

Structure (Quantum ESPRESSO input):
```
&SYSTEM
  ibrav = 0, nat = 8, ntyp = 3
/
ATOMIC_SPECIES
Hg 200.59 Hg.upf
Ca 40.08 Ca.upf
Tl 204.38 Tl.upf
CELL_PARAMETERS angstrom
8.4699 0.0000 0.0000
0.0000 8.4699 0.0000
4.2350 4.2350 3.6528
ATOMIC_POSITIONS angstrom
Hg 4.2350 8.4699 1.8264
Hg 4.2350 4.2350 0.0000
Ca 2.2190 6.3524 0.9132
Ca 6.2509 2.1175 0.9132
Ca 10.5874 10.4859 2.7396
Ca 6.3524 6.4540 2.7396
Tl 0.0000 0.0000 0.0000
Tl 8.4699 4.2350 1.8264
```



No. 2
DFT (PBE) results for crystalline KRhWS2 at its relaxed geometry. Values from VASP.

Size of the total moment: 0.0 Bohr magnetons per cell
ΔE_f (raw): 21.4 meV per atom
Symmetry: No. 123

Structure (Quantum ESPRESSO input):
```
&SYSTEM
  ibrav = 0, nat = 5, ntyp = 4
/
ATOMIC_SPECIES
S 32.06 S.upf
W 183.84 W.upf
Rh 102.91 Rh.upf
K 39.10 K.upf
CELL_PARAMETERS angstrom
4.7505 0.0000 0.0000
0.0000 4.7505 0.0000
0.0000 0.0000 4.9021
ATOMIC_POSITIONS angstrom
S 0.0000 2.3752 0.0000
S 2.3752 0.0000 0.0000
W 0.0000 0.0000 0.0000
Rh 0.0000 0.0000 2.4511
K 2.3752 2.3752 2.4511
```



No. 3
DFT (PBE) results for crystalline Ac2Nd5Dy12 at its relaxed geometry. Values from VASP.

Size of the total moment: 0.0 Bohr magnetons per cell
Symmetry: No. 2
Energy of formation: 0.108 eV/atom

Structure (Quantum ESPRESSO input):
```
&SYSTEM
  ibrav = 0, nat = 19, ntyp = 3
/
ATOMIC_SPECIES
Dy 162.50 Dy.upf
Nd 144.24 Nd.upf
Ac 227.00 Ac.upf
CELL_PARAMETERS angstrom
6.9527 0.2762 -0.0290
-3.1311 10.6004 -10.3590
0.0056 -6.5348 15.0051
ATOMIC_POSITIONS angstrom
Dy 1.0281 5.1487 1.6590
Dy 6.3704 -1.3631 3.7087
Dy 2.7991 -0.8069 2.9581
Dy -2.5433 5.7049 0.9084
Dy -0.8486 3.1173 -0.7936
Dy 1.1601 4.8303 -4.0503
Dy 2.6670 -0.4884 8.6674
Dy 4.8728 4.4164 -3.9766
Dy -1.0457 -0.0746 8.5938
Dy 2.6908 3.9597 -1.3011
Dy 1.1364 0.3821 5.9183
Dy 4.6758 1.2245 5.4107
Nd 3.6673 2.6140 1.8998
Nd 3.8297 -2.1272 6.0555
Nd 0.0028 -3.2674 7.5026
Nd 0.1599 1.7278 2.7174
Nd -0.0025 6.4690 -1.4383
Ac 1.6964 0.5247 -0.3376
Ac 2.1308 3.8171 4.9548
```



No. 4
DFT (PBE) results for crystalline CePu6Ru5 at its relaxed geometry. Values from VASP.

Size of the total moment: 30.0 Bohr magnetons per cell
Symmetry: No. 10
Energy of formation: -0.107 eV/atom

Structure (Quantum ESPRESSO input):
```
&SYSTEM
  ibrav = 0, nat = 12, ntyp = 3
/
ATOMIC_SPECIES
Pu 244.00 Pu.upf
Ru 101.07 Ru.upf
Ce 140.12 Ce.upf
CELL_PARAMETERS angstrom
4.7906 0.0024 -0.8829
-0.0041 7.0091 -0.0015
-1.0414 0.0006 7.4228
ATOMIC_POSITIONS angstrom
Pu 1.3509 5.1397 6.9802
Pu 3.2820 5.2175 4.1110
Pu 2.3942 1.8723 -0.4418
Pu 0.4630 1.7946 2.4275
Pu 3.2840 1.7963 4.1116
Pu 0.4611 5.2158 2.4269
Ru -0.0021 3.5045 -0.0008
Ru 2.8302 7.0107 1.8887
Ru 0.9149 0.0013 4.6497
Ru 2.8195 3.5064 1.8701
Ru 0.9256 3.5056 4.6683
Ce 0.0000 0.0000 0.0000
```



No. 5
DFT (PBE) results for crystalline TePW2 at its relaxed geometry. Values from VASP.

Size of the total moment: 0.0 Bohr magnetons per cell
Offset from the most stable computed form: 2 meV/atom
ΔE_f (raw): 187.8 meV per atom
Symmetry: No. 99

Structure (Quantum ESPRESSO input):
```
&SYSTEM
  ibrav = 0, nat = 4, ntyp = 3
/
ATOMIC_SPECIES
W 183.84 W.upf
P 30.97 P.upf
Te 127.60 Te.upf
CELL_PARAMETERS angstrom
-1.1956 0.1333 2.9376
-1.1752 -2.9285 -0.3454
6.7306 -3.0404 2.8774
ATOMIC_POSITIONS angstrom
W 0.5686 -2.1899 2.0459
W 0.2238 -0.1011 0.0957
P 2.6273 -1.1868 1.1232
Te 4.3053 -3.8779 3.6434
```



No. 6
DFT (PBE) results for crystalline HfZrSn3 at its relaxed geometry. Values from VASP.

Size of the total moment: 1.9 Bohr magnetons per cell
Symmetry: No. 221
Energy of formation: 0.692 eV/atom

Structure (Quantum ESPRESSO input):
```
&SYSTEM
  ibrav = 0, nat = 5, ntyp = 3
/
ATOMIC_SPECIES
Zr 91.22 Zr.upf
Sn 118.71 Sn.upf
Hf 178.49 Hf.upf
CELL_PARAMETERS angstrom
-0.5990 5.3017 -0.8670
-5.2600 -0.7561 -0.9896
-1.0918 0.7340 5.2428
ATOMIC_POSITIONS angstrom
Zr -3.4754 2.6398 1.6931
Sn -0.2995 2.6508 -0.4335
Sn -0.5459 0.3670 2.6214
Sn -2.6300 -0.3781 -0.4948
Hf 0.0000 0.0000 0.0000
```



No. 7
DFT (PBE) results for crystalline LiAcCd2 at its relaxed geometry. Values from VASP.

Size of the total moment: 0.0 Bohr magnetons per cell
Offset from the most stable computed form: 25 meV/atom
Symmetry: No. 166
Energy of formation: -0.234 eV/atom

Structure (Quantum ESPRESSO input):
```
&SYSTEM
  ibrav = 0, nat = 4, ntyp = 3
/
ATOMIC_SPECIES
Cd 112.41 Cd.upf
Li 6.94 Li.upf
Ac 227.00 Ac.upf
CELL_PARAMETERS angstrom
-3.6973 -3.1568 0.1352
0.0827 -3.7086 3.1453
-3.7274 0.8260 4.8322
ATOMIC_POSITIONS angstrom
Cd -2.1486 -1.1233 2.4921
Cd -5.1935 -4.9161 5.6205
Li -3.6710 -3.0197 4.0563
Ac 0.0000 0.0000 0.0000
```



No. 8
DFT (PBE) results for crystalline Na3SrSn at its relaxed geometry. Values from VASP.

Size of the total moment: 0.0 Bohr magnetons per cell
Offset from the most stable computed form: 1004 meV/atom
Symmetry: No. 221
Energy of formation: 0.780 eV/atom

Structure (Quantum ESPRESSO input):
```
&SYSTEM
  ibrav = 0, nat = 5, ntyp = 3
/
ATOMIC_SPECIES
Sr 87.62 Sr.upf
Na 22.99 Na.upf
Sn 118.71 Sn.upf
CELL_PARAMETERS angstrom
6.2221 0.0000 0.0000
0.0000 6.2221 0.0000
0.0000 0.0000 6.2221
ATOMIC_POSITIONS angstrom
Sr 0.0000 0.0000 0.0000
Na 0.0000 3.1111 0.0000
Na 0.0000 0.0000 3.1111
Na 3.1111 0.0000 0.0000
Sn 3.1111 3.1111 3.1111
```



No. 9
DFT (PBE) results for crystalline Ho5RhAu2 at its relaxed geometry. Values from VASP.

Size of the total moment: 0.0 Bohr magnetons per cell
Symmetry: No. 55
Energy of formation: -0.713 eV/atom

Structure (Quantum ESPRESSO input):
```
&SYSTEM
  ibrav = 0, nat = 16, ntyp = 3
/
ATOMIC_SPECIES
Ho 164.93 Ho.upf
Rh 102.91 Rh.upf
Au 196.97 Au.upf
CELL_PARAMETERS angstrom
4.7565 0.0000 0.0000
0.0000 7.2398 0.0000
0.0000 0.0000 11.5692
ATOMIC_POSITIONS angstrom
Ho 2.3782 5.9363 10.5678
Ho 0.0000 4.7266 8.1823
Ho 0.0000 3.6199 0.0000
Ho 0.0000 1.1068 9.1715
Ho 2.3782 4.9234 4.7832
Ho 0.0000 6.1330 2.3977
Ho 2.3782 1.3035 1.0014
Ho 0.0000 2.5131 3.3869
Ho 2.3782 2.3164 6.7860
Ho 0.0000 0.0000 5.7846
Rh 0.0000 0.0000 0.0000
Rh 0.0000 3.6199 5.7846
Au 2.3782 3.1152 9.6980
Au 2.3782 0.5047 3.9133
Au 2.3782 4.1246 1.8713
Au 2.3782 6.7351 7.6559
```



No. 10
DFT (PBE) results for crystalline Sr3Be2PdO6 at its relaxed geometry. Values from VASP.

Size of the total moment: 2.0 Bohr magnetons per cell
ΔE_f (raw): -2125.1 meV per atom
Symmetry: No. 164

Structure (Quantum ESPRESSO input):
```
&SYSTEM
  ibrav = 0, nat = 12, ntyp = 4
/
ATOMIC_SPECIES
O 16.00 O.upf
Be 9.01 Be.upf
Sr 87.62 Sr.upf
Pd 106.42 Pd.upf
CELL_PARAMETERS angstrom
5.5833 0.0000 0.0000
-2.7916 4.8353 0.0000
0.0000 0.0000 6.5708
ATOMIC_POSITIONS angstrom
O 0.0000 1.7038 1.8060
O 1.4755 0.8519 4.7648
O 4.1078 0.8519 4.7648
O -1.3161 3.9834 1.8060
O 1.3161 3.9834 1.8060
O 2.7916 3.1315 4.7648
Be 0.0000 3.2235 1.6809
Be 2.7916 1.6118 4.8900
Sr 2.7916 1.6118 2.1503
Sr 0.0000 3.2235 4.4205
Sr 0.0000 0.0000 0.0000
Pd 0.0000 0.0000 3.2854
```



No. 11
DFT (PBE) results for crystalline Ba2Sr2Ca7 at its relaxed geometry. Values from VASP.

Size of the total moment: 0.0 Bohr magnetons per cell
Offset from the most stable computed form: 0 meV/atom
Symmetry: No. 12
Energy of formation: 0.067 eV/atom

Structure (Quantum ESPRESSO input):
```
&SYSTEM
  ibrav = 0, nat = 11, ntyp = 3
/
ATOMIC_SPECIES
Sr 87.62 Sr.upf
Ca 40.08 Ca.upf
Ba 137.33 Ba.upf
CELL_PARAMETERS angstrom
11.0206 -0.9805 -1.5141
-0.2353 6.9116 -0.9707
0.2426 0.0067 6.9792
ATOMIC_POSITIONS angstrom
Sr 2.9373 4.8104 4.0014
Sr 8.0906 1.1275 0.4930
Ca 9.6976 2.1514 3.8562
Ca 7.3821 5.1578 4.0360
Ca 3.6458 0.7801 0.4584
Ca 0.0000 0.0000 0.0000
Ca 9.5218 4.6914 0.9317
Ca 1.3303 3.7865 0.6382
Ca 1.5061 1.2465 3.5627
Ba 5.4137 4.4168 0.5802
Ba 5.6141 1.5210 3.9142
```



No. 12
DFT (PBE) results for crystalline Ca2SmPb at its relaxed geometry. Values from VASP.

Size of the total moment: 0.0 Bohr magnetons per cell
Offset from the most stable computed form: 346 meV/atom
Symmetry: No. 166
Energy of formation: 0.044 eV/atom

Structure (Quantum ESPRESSO input):
```
&SYSTEM
  ibrav = 0, nat = 4, ntyp = 3
/
ATOMIC_SPECIES
Sm 150.36 Sm.upf
Ca 40.08 Ca.upf
Pb 207.20 Pb.upf
CELL_PARAMETERS angstrom
3.6597 0.0000 0.0000
1.8299 3.1694 0.0000
1.8299 1.0565 12.5979
ATOMIC_POSITIONS angstrom
Sm 3.6597 2.1129 6.2989
Ca 5.4896 3.1694 3.2429
Ca 1.8299 1.0565 9.3550
Pb 0.0000 0.0000 0.0000
```



Look up the size of the total moment of the seventh one. 0.0 Bohr magnetons per cell



Which formula does entry 3 have? Ac2Nd5Dy12